PBE-GGA Dy7Ag2Te2, relaxed; formation energy from raw total energies = -261 meV/atom; electronic total energy = -4.28 eV/atom; D(E_F) = 1.271 states/eV per atom; crystal system = orthorhombic
1.0
4.031 -5.367 0.000
4.031 5.367 0.000
0.000 0.000 7.620
Dy Ag Te
7 2 2
Cartesian
0.000 0.000 0.000 Dy
2.015 2.684 2.174 Dy
2.015 2.684 5.446 Dy
2.015 -2.684 2.174 Dy
2.015 -2.684 5.446 Dy
4.031 0.000 2.105 Dy
4.031 0.000 5.515 Dy
1.432 0.000 3.810 Ag
6.630 0.000 3.810 Ag
4.031 2.308 0.000 Te
4.031 -2.308 0.000 Te


PBE-GGA CaSmN, relaxed; formation energy from raw total energies = -807 meV/atom; energy relative to the lowest polymorph listed for this composition = 0.0239 eV/atom; electronic total energy = -5.82 eV/atom; D(E_F) = 0.559 states/eV per atom; crystal system = orthorhombic
1.0
3.563 0.000 0.000
0.000 5.112 0.000
0.000 0.000 7.643
Ca Sm N
2 2 2
Cartesian
0.891 1.278 0.773 Ca
2.672 3.834 6.871 Ca
0.891 1.278 5.072 Sm
2.672 3.834 2.572 Sm
0.891 3.834 1.055 N
2.672 1.278 6.588 N


PBE-GGA Nd3Ga4Ni4, relaxed; formation energy = -51 kJ/mol of atoms; electronic total energy = -5.03 eV/atom; D(E_F) = 0.986 states/eV per atom; crystal system = orthorhombic
1.0
-2.028 2.117 12.283
2.028 -2.117 12.283
2.028 2.117 -12.283
Nd Ga Ni
3 4 4
Cartesian
0.000 0.000 0.000 Nd
2.028 0.000 8.574 Nd
0.000 2.117 3.709 Nd
2.028 0.000 4.902 Ga
0.000 0.000 10.991 Ga
0.000 0.000 13.575 Ga
0.000 2.117 7.381 Ga
2.028 0.000 2.453 Ni
0.000 0.000 6.166 Ni
0.000 0.000 18.400 Ni
0.000 2.117 9.830 Ni


> Look up the D(E_F) of the second one.

0.559 states/eV per atom